[1]
CsPdAu2F8 after structural relaxation. Source: Alexandria, functional GGA-PBE.

Values from the calculation:
calculated density	4.93	Mg/m³
space group	No. 155
electronic total energy	-41.64	eV/cell

```
CsPdAu2F8
1.0
5.729 0.000 0.000
2.864 4.961 0.000
2.864 1.654 9.306
Cs Pd Au F
1 1 2 8
Cartesian
0.000 0.000 0.000
5.729 3.307 4.653
8.593 4.961 7.240
2.864 1.654 2.066
8.593 4.961 9.277
2.864 1.654 0.029
4.391 2.451 3.459
7.139 4.038 5.847
4.391 4.163 5.847
5.656 4.894 3.459
7.139 2.577 3.459
5.656 1.721 5.847
```

[2]
Cs6PdAu2F after structural relaxation. Source: Alexandria, functional GGA-PBE.

Values from the calculation:
calculated density	4.58	Mg/m³
space group	No. 14
electronic total energy	-49.73	eV/cell

```
Cs6PdAu2F
1.0
-1.630 8.201 -1.149
-9.080 -1.851 -0.335
-0.802 1.753 12.053
Cs Pd Au F
12 2 4 2
Cartesian
-6.669 1.306 0.078
-9.232 6.008 5.481
-4.843 6.797 10.492
-2.280 2.094 5.089
-7.202 2.181 4.633
-9.408 6.956 10.048
-4.310 5.922 5.937
-2.104 1.146 0.522
-6.526 6.623 1.634
-9.922 2.622 8.095
-4.985 1.480 8.936
-1.589 5.481 2.475
-0.815 4.100 -0.574
-4.941 -0.049 5.859
-8.482 -0.932 2.722
-6.881 4.620 8.279
-3.030 9.034 7.848
-4.631 3.483 2.291
-1.216 4.977 5.452
-4.540 -0.926 -0.167
```

[3]
Cs6PtAu2F after structural relaxation. Source: Alexandria, functional GGA-PBE.

Values from the calculation:
calculated density	4.98	Mg/m³
space group	No. 14
electronic total energy	-52.04	eV/cell

```
Cs6PtAu2F
1.0
-2.244 7.509 3.108
-2.999 -4.041 7.598
11.035 1.289 5.041
Cs Pt Au F
12 2 4 2
Cartesian
-2.163 -0.449 6.387
1.838 3.419 11.460
7.954 5.207 9.360
3.953 1.339 4.287
2.050 0.164 8.518
6.129 4.137 13.393
3.741 4.594 7.229
-0.338 0.621 2.354
-0.980 4.830 8.028
4.369 -0.019 12.265
6.771 -0.073 7.719
1.422 4.777 3.482
-1.122 3.755 1.554
4.018 -1.376 6.320
-0.033 -3.129 8.307
5.342 2.590 9.899
5.824 7.886 7.440
0.449 2.167 5.848
4.395 4.399 4.074
-1.500 -2.020 3.799
```

[4]
CsRb4Au3F12 after structural relaxation. Source: Alexandria, functional GGA-PBE.

Values from the calculation:
calculated density	4.70	Mg/m³
space group	No. 204
electronic total energy	-75.17	eV/cell

```
CsRb4Au3F12
1.0
-0.531 -8.152 -1.968
4.887 0.934 6.772
-7.678 2.988 1.653
Cs Rb Au F
1 4 3 12
Cartesian
0.000 0.000 0.000
-0.265 -4.076 -0.984
-1.661 -2.115 3.228
2.444 0.467 3.386
-3.839 1.494 0.827
-1.395 1.961 4.212
2.178 -3.609 2.402
-4.104 -2.582 -0.157
2.494 -1.374 5.473
-5.816 -2.856 0.984
-0.139 -3.031 5.372
1.716 -5.497 3.128
-2.095 -5.799 0.214
-0.332 0.311 3.540
0.318 -3.181 1.587
-1.227 1.570 6.243
-3.182 -1.199 1.085
-5.038 1.267 3.329
-2.990 -4.541 2.916
-3.640 -1.048 4.870
```

[5]
CsRbAuF6 after structural relaxation. Source: Alexandria, functional GGA-PBE.

Values from the calculation:
calculated density	5.03	Mg/m³
space group	No. 1
electronic total energy	-33.18	eV/cell

```
CsRbAuF6
1.0
6.390 0.129 -0.046
3.307 5.461 -0.017
-0.008 -0.015 5.067
Cs Rb Au F
1 1 1 6
Cartesian
0.048 0.019 4.304
6.391 3.684 1.399
3.229 1.855 2.786
1.569 0.900 1.703
3.259 0.210 3.894
4.918 2.828 3.841
1.820 2.701 3.898
3.192 3.487 1.663
4.623 1.010 1.658
```

[6]
CsRb2AuF6 after structural relaxation. Source: Alexandria, functional GGA-PBE.

Values from the calculation:
calculated density	4.34	Mg/m³
space group	No. 225
electronic total energy	-37.41	eV/cell

```
CsRb2AuF6
1.0
6.932 0.000 0.000
0.000 6.932 0.000
3.466 3.466 4.900
Cs Au Rb F
1 1 2 6
Cartesian
3.466 3.466 0.000
0.000 0.000 0.000
6.932 3.466 2.450
3.466 6.932 2.450
3.466 3.466 2.750
6.932 6.932 2.150
1.520 1.520 0.000
5.412 5.412 0.000
5.412 1.520 0.000
1.520 5.412 0.000
```

[7]
Cs4RbAu2F after structural relaxation. Source: Alexandria, functional GGA-PBE.

Values from the calculation:
calculated density	4.29	Mg/m³
space group	No. 12
electronic total energy	-19.16	eV/cell

```
Cs4RbAu2F
1.0
-3.002 -0.292 3.644
-7.002 -3.271 -2.960
0.922 -10.572 2.983
Cs Rb Au F
4 1 2 1
Cartesian
-6.362 -10.801 0.034
-2.233 -10.893 3.429
-2.720 -3.334 3.633
-6.849 -3.242 0.238
-4.541 -7.067 1.834
-5.828 -10.159 3.596
-3.254 -3.976 0.071
0.000 0.000 0.000
```

[8]
Cs6Rb3Au2F after structural relaxation. Source: Alexandria, functional GGA-PBE.

Values from the calculation:
calculated density	2.92	Mg/m³
space group	No. 12
electronic total energy	-22.85	eV/cell

```
Cs6Rb3Au2F
1.0
-2.167 5.203 6.676
-3.119 -8.154 -0.346
11.706 -3.162 4.427
Cs Rb Au F
6 3 2 1
Cartesian
5.888 -3.096 9.915
-2.210 -2.683 5.402
0.533 -3.018 0.843
5.606 -7.055 7.834
8.630 -3.431 5.355
0.815 0.941 2.924
2.896 -7.466 3.061
3.525 1.352 7.697
3.210 -3.057 5.379
-2.801 -3.696 1.998
-2.485 0.744 4.333
0.000 0.000 0.000
```

[9]
Cs2RbAuF after structural relaxation. Source: Alexandria, functional GGA-PBE.

Values from the calculation:
relative energy among the computed polymorphs	42	meV per atom
calculated density	4.22	Mg/m³
space group	No. 63

```
Cs2RbAuF
1.0
-3.146 -2.014 -3.187
7.939 2.498 -5.631
3.763 -8.387 1.585
Cs Rb Au F
4 2 2 2
Cartesian
1.936 0.359 -2.138
6.620 -8.262 -5.095
3.741 -3.664 -1.377
4.815 -4.240 -5.856
1.373 -7.269 -0.544
7.184 -0.635 -6.689
3.687 -6.727 -3.171
4.869 -1.177 -4.062
0.000 0.000 0.000
1.882 -4.194 0.793
```

[10]
Cs3RbAu2F after structural relaxation. Source: Alexandria, functional GGA-PBE.

Values from the calculation:
calculated density	4.93	Mg/m³
space group	No. 71
electronic total energy	-18.49	eV/cell

```
Cs3RbAu2F
1.0
-0.714 5.298 -1.487
-5.677 -0.560 0.729
4.095 0.292 9.426
Cs Rb Au F
3 1 2 1
Cartesian
-2.838 -0.280 0.365
0.311 0.921 3.133
-2.607 4.108 5.535
-0.357 2.649 -0.744
-2.961 3.062 1.978
0.665 1.968 6.690
0.000 0.000 0.000
```

[11]
Cs2RbAuF after structural relaxation. Source: Alexandria, functional GGA-PBE.

Values from the calculation:
relative energy among the computed polymorphs	0	meV per atom
calculated density	4.72	Mg/m³
space group	No. 123

```
Cs2RbAuF
1.0
5.955 0.000 0.000
0.000 5.955 0.000
0.000 0.000 5.631
Cs Au Rb F
2 1 1 1
Cartesian
0.000 2.978 0.000
2.978 0.000 0.000
2.978 2.978 2.816
0.000 0.000 2.816
0.000 0.000 0.000
```

[12]
Cs8Rb3Au3F after structural relaxation. Source: Alexandria, functional GGA-PBE.

Values from the calculation:
calculated density	2.83	Mg/m³
space group	No. 12
electronic total energy	-28.18	eV/cell

```
Cs8Rb3Au3F
1.0
10.177 0.000 0.000
-5.088 8.832 -0.045
0.000 -5.840 12.626
Cs Rb Au F
8 3 3 1
Cartesian
0.000 2.959 4.208
5.088 0.033 8.373
5.088 3.256 4.456
0.000 -0.264 8.125
7.883 -1.600 4.476
-2.794 4.592 8.105
2.294 -1.600 4.476
2.794 4.592 8.105
0.000 0.000 0.000
-2.544 4.416 -0.023
2.544 4.416 -0.023
5.088 -2.920 6.313
2.544 1.496 6.290
-2.544 1.496 6.290
0.000 -2.920 6.313
```